VASP calculation (PBE) on Cr2POs after structural relaxation.

Geometry as extended XYZ:
```
4
Lattice="1.375 0.794 7.694 -1.375 0.794 7.694 0.000 -1.588 7.694" Properties=species:S:1:pos:R:3 pbc="T T T"
Cr 0.000 0.000 0.000
Cr 0.000 0.000 5.854
P 0.000 0.000 11.771
Os 0.000 0.000 17.450
```

---

VASP calculation (PBE) on CrPOs after structural relaxation.

Geometry as extended XYZ:
```
3
Lattice="0.000 2.382 5.740 1.472 0.000 5.740 1.472 2.382 0.000" Properties=species:S:1:pos:R:3 pbc="T T T"
Cr 0.000 0.000 0.000
P 1.472 2.382 4.030
Os 1.472 2.382 7.935
```

---

VASP calculation (PBE) on CrPOs after structural relaxation.

Geometry as extended XYZ:
```
3
Lattice="-1.400 1.913 3.587 1.400 -1.913 3.587 1.400 1.913 -3.587" Properties=species:S:1:pos:R:3 pbc="T T T"
Cr 0.000 0.000 0.000
P 0.000 0.000 4.846
Os 0.000 0.000 2.479
```

---

VASP calculation (PBE) on CrP2Os after structural relaxation.

Geometry as extended XYZ:
```
4
Lattice="3.712 -1.426 0.000 3.712 1.426 0.000 -1.088 0.000 4.783" Properties=species:S:1:pos:R:3 pbc="T T T"
Cr 0.000 0.000 0.000
P 1.035 0.000 3.675
P 5.301 0.000 1.107
Os 3.168 0.000 2.391
```

## Properties
E above lowest polymorph = 223 meV per atom

---

The energy of formation from the pure elements results, record by record, are as follows: 0.1439 0.3481 0.0749 -0.0418 eV per atom.